Entry from Alexandria: crystalline AcNdCuOs at its relaxed geometry (PBE). Values from VASP.

```
&SYSTEM
  ibrav = 0, nat = 4, ntyp = 4
/
ATOMIC_SPECIES
Cu 63.55 Cu.upf
Os 190.23 Os.upf
Nd 144.24 Nd.upf
Ac 227.00 Ac.upf
CELL_PARAMETERS angstrom
-2.1534 0.7902 4.6033
-5.1095 0.4198 0.4109
-2.7157 -3.7461 2.2458
ATOMIC_POSITIONS angstrom
Cu -2.4947 -0.6340 1.8150
Os -7.4840 -1.9021 5.4450
Nd -4.9893 -1.2680 3.6300
Ac 0.0000 0.0000 0.0000
```

Output
space group: F-43m
formation energy from the elements: 0.0188 eV per atom
total magnetic moment: 0.0000 μB per atom
crystal system: cubic
calculated density: 10.79 g cm⁻³
V: 24.05 A^3/atom

Entry from Alexandria: crystalline AcNdCuP at its relaxed geometry (PBE). Values from VASP.

```
&SYSTEM
  ibrav = 0, nat = 4, ntyp = 4
/
ATOMIC_SPECIES
Cu 63.55 Cu.upf
P 30.97 P.upf
Nd 144.24 Nd.upf
Ac 227.00 Ac.upf
CELL_PARAMETERS angstrom
5.1952 0.0000 0.0000
2.5976 4.4992 0.0000
2.5976 1.4997 4.2419
ATOMIC_POSITIONS angstrom
Cu 2.5976 1.4997 1.0605
P 7.7928 4.4992 3.1814
Nd 5.1952 2.9994 2.1209
Ac 0.0000 0.0000 0.0000
```

Output
space group: F-43m
formation energy from the elements: -0.5099 eV per atom
total magnetic moment: 0.0002 μB per atom
crystal system: cubic
calculated density: 7.80 g cm⁻³
V: 24.79 A^3/atom

Entry from Alexandria: crystalline AcNdCuPb at its relaxed geometry (PBE). Values from VASP.

```
&SYSTEM
  ibrav = 0, nat = 4, ntyp = 4
/
ATOMIC_SPECIES
Pb 207.20 Pb.upf
Nd 144.24 Nd.upf
Cu 63.55 Cu.upf
Ac 227.00 Ac.upf
CELL_PARAMETERS angstrom
5.5354 0.0000 0.0000
2.7677 4.7938 0.0000
2.7677 1.5979 4.5196
ATOMIC_POSITIONS angstrom
Pb 8.3030 4.7938 3.3897
Nd 5.5354 3.1958 2.2598
Cu 2.7677 1.5979 1.1299
Ac 0.0000 0.0000 0.0000
```

Output
space group: F-43m
formation energy from the elements: -0.2536 eV per atom
total magnetic moment: 0.0598 μB per atom
crystal system: cubic
calculated density: 8.89 g cm⁻³
V: 29.98 A^3/atom

Entry from Alexandria: crystalline AcNdCuPt at its relaxed geometry (PBE). Values from VASP.

```
&SYSTEM
  ibrav = 0, nat = 4, ntyp = 4
/
ATOMIC_SPECIES
Cu 63.55 Cu.upf
Ac 227.00 Ac.upf
Pt 195.08 Pt.upf
Nd 144.24 Nd.upf
CELL_PARAMETERS angstrom
5.2361 0.0000 0.0000
2.6181 4.5346 0.0000
2.6181 1.5115 4.2753
ATOMIC_POSITIONS angstrom
Cu 2.6181 1.5115 1.0688
Ac 0.0000 0.0000 0.0000
Pt 7.8542 4.5346 3.2065
Nd 5.2361 3.0231 2.1376
```

Output
space group: F-43m
formation energy from the elements: -0.5619 eV per atom
total magnetic moment: 0.0000 μB per atom
crystal system: cubic
relative energy among the computed polymorphs: 86 meV/atom
calculated density: 10.30 g cm⁻³
V: 25.38 A^3/atom

Entry from Alexandria: crystalline AcNdCuPt at its relaxed geometry (PBE). Values from VASP.

```
&SYSTEM
  ibrav = 0, nat = 4, ntyp = 4
/
ATOMIC_SPECIES
Nd 144.24 Nd.upf
Cu 63.55 Cu.upf
Ac 227.00 Ac.upf
Pt 195.08 Pt.upf
CELL_PARAMETERS angstrom
-0.1167 -0.5834 -4.0144
-0.4759 -4.5488 0.6750
-5.4891 0.8832 2.0825
ATOMIC_POSITIONS angstrom
Nd -4.3525 -2.1336 -1.6146
Cu -1.0930 -2.4812 -1.6589
Ac -1.5552 0.1658 0.0211
Pt -4.6868 0.4997 0.0637
```

Output
space group: Amm2
formation energy from the elements: -0.6476 eV per atom
total magnetic moment: 0.0000 μB per atom
crystal system: orthorhombic
relative energy among the computed polymorphs: 0 meV/atom
calculated density: 9.99 g cm⁻³
V: 26.17 A^3/atom

Entry from Alexandria: crystalline Ac2NdCuS5 at its relaxed geometry (PBE). Values from VASP.

```
&SYSTEM
  ibrav = 0, nat = 18, ntyp = 4
/
ATOMIC_SPECIES
Ac 227.00 Ac.upf
S 32.06 S.upf
Cu 63.55 Cu.upf
Nd 144.24 Nd.upf
CELL_PARAMETERS angstrom
-3.5723 2.0163 0.0527
-1.6202 -7.1690 4.7762
3.5722 6.0596 10.3071
ATOMIC_POSITIONS angstrom
Ac -3.7131 -2.5548 5.7232
Ac -1.3541 1.4502 12.3946
Ac 0.4182 0.6176 4.7161
Ac 1.6943 2.7858 8.2632
S -0.0811 -0.1498 0.2376
S -2.4850 -0.3299 3.8472
S -0.8352 -1.6573 6.7898
S -3.2680 -1.8757 9.9105
S -0.9870 2.2449 6.8790
S -2.2762 -4.1248 3.5168
S -0.9164 2.4787 2.7186
S 0.3989 0.4467 9.9449
S 0.0421 3.9673 10.7328
S -0.6654 -1.5065 12.5284
Cu -1.5478 -2.9695 8.6855
Cu 1.1695 5.9833 10.0341
Nd -2.1021 0.2258 8.5432
Nd -1.1182 -2.0329 1.9763
```

Output
space group: Cmc2_1
total magnetic moment: 0.0000 μB per atom
crystal system: orthorhombic
energy: -6.0208 eV/atom
calculated density: 6.26 g cm⁻³
V: 24.24 A^3/atom